Record 1
UNbSb2 GGA-PBE optimized geometry; raw formation energy = 0.32 eV/atom; magnetic moment = 1.51 μB/cell; total energy = -28.32 eV for the cell shown
1.0
-1.928 2.112 -1.253
-3.076 -0.203 0.499
-0.617 6.954 8.780
Sb U Nb
2 1 1
Direct
0.086 0.086 0.741 Sb
0.914 0.914 0.259 Sb
0.500 0.500 0.500 U
0.000 0.000 0.000 Nb

Record 2
UNbSb GGA-PBE optimized geometry; raw formation energy = 0.15 eV/atom; magnetic moment = 0.89 μB/cell; total energy = -25.02 eV for the cell shown
1.0
-0.535 -1.647 -2.503
3.810 -3.012 1.168
-4.598 -1.030 1.659
Sb U Nb
1 1 1
Direct
0.500 0.667 0.333 Sb
0.000 0.000 0.000 U
0.500 0.333 0.667 Nb

Record 3
UNbSb2 GGA-PBE optimized geometry; raw formation energy = -0.09 eV/atom; magnetic moment = 3.14 μB/cell; total energy = -29.97 eV for the cell shown
1.0
3.498 0.000 0.000
0.000 3.498 0.000
0.000 0.000 7.467
Sb U Nb
2 1 1
Direct
0.000 0.000 0.781 Sb
0.000 0.000 0.219 Sb
0.500 0.500 0.500 U
0.500 0.500 0.000 Nb

Record 4
UNbSb GGA-PBE optimized geometry; raw formation energy = 0.17 eV/atom; magnetic moment = 6.33 μB/cell; total energy = -149.83 eV for the cell shown
1.0
3.536 0.000 0.000
0.000 8.013 0.000
0.000 0.000 14.143
Sb Nb U
6 6 6
Direct
0.000 0.277 0.580 Sb
0.000 0.277 0.920 Sb
0.000 0.723 0.080 Sb
0.000 0.970 0.750 Sb
0.000 0.723 0.420 Sb
0.000 0.030 0.250 Sb
0.500 0.255 0.750 Nb
0.500 0.745 0.250 Nb
0.500 0.561 0.904 Nb
0.500 0.439 0.096 Nb
0.500 0.439 0.404 Nb
0.500 0.561 0.596 Nb
0.500 0.927 0.925 U
0.000 0.420 0.250 U
0.500 0.073 0.075 U
0.500 0.073 0.425 U
0.000 0.580 0.750 U
0.500 0.927 0.575 U

Record 5
UNbSb2 GGA-PBE optimized geometry; raw formation energy = -0.07 eV/atom; magnetic moment = 3.07 μB/cell; total energy = -29.88 eV for the cell shown
1.0
-1.227 -0.099 -3.353
0.666 -3.650 -0.136
-6.744 2.383 4.298
Nb Sb U
1 2 1
Direct
0.453 0.409 0.693 Nb
0.597 0.195 0.980 Sb
0.864 0.730 0.514 Sb
0.220 0.941 0.226 U

Record 6
U3NbSb5 GGA-PBE optimized geometry; raw formation energy = -0.31 eV/atom; magnetic moment = 14.60 μB/cell; total energy = -134.75 eV for the cell shown
1.0
1.024 9.037 0.988
-2.039 -5.192 7.251
5.949 -0.795 1.104
Sb U Nb
10 6 2
Direct
0.732 0.000 0.750 Sb
0.268 0.000 0.250 Sb
0.667 0.333 0.500 Sb
0.333 0.667 0.500 Sb
0.732 0.732 0.250 Sb
0.000 0.268 0.250 Sb
0.000 0.732 0.750 Sb
0.667 0.333 0.000 Sb
0.333 0.667 0.000 Sb
0.268 0.268 0.750 Sb
0.386 0.386 0.250 U
0.614 0.000 0.250 U
0.386 0.000 0.750 U
0.000 0.614 0.250 U
0.000 0.386 0.750 U
0.614 0.614 0.750 U
0.000 0.000 0.500 Nb
0.000 0.000 0.000 Nb

Record 7
UNbSb GGA-PBE optimized geometry; raw formation energy = 0.09 eV/atom; magnetic moment = 2.41 μB/cell; total energy = -25.22 eV for the cell shown
1.0
-1.886 2.893 -0.485
-2.475 -1.879 -1.585
-0.342 -1.329 5.947
Sb U Nb
1 1 1
Direct
0.640 0.640 0.280 Sb
0.941 0.941 0.882 U
0.269 0.269 0.538 Nb

Record 8
NbV2Sb2 GGA-PBE optimized geometry; raw formation energy = 0.39 eV/atom; magnetic moment = 0.01 μB/cell; total energy = -34.58 eV for the cell shown
1.0
4.976 0.000 0.000
0.000 4.976 0.000
2.488 2.488 3.913
Nb V Sb
1 2 2
Direct
0.000 0.000 0.000 Nb
0.623 0.623 0.754 V
0.377 0.377 0.246 V
0.750 0.250 0.500 Sb
0.250 0.750 0.500 Sb